# 1
The following is a PBE calculation of a relaxed structure of CaReNi2, from Alexandria.

```
data_CaReNi2
_chemical_formula_sum 'Ca3 Re3 Ni6'
_symmetry_space_group_name_H-M 'P 1'
_symmetry_Int_Tables_number 1
_cell_length_a 2.830
_cell_length_b 2.830
_cell_length_c 26.366
_cell_angle_alpha 90.00
_cell_angle_beta 90.00
_cell_angle_gamma 120.00
loop_
_symmetry_equiv_pos_as_xyz
'x,y,z'
loop_
_atom_site_label
_atom_site_fract_x
_atom_site_fract_y
_atom_site_fract_z
Ca1 0.000 0.000 0.000
Ca2 0.333 0.667 0.667
Ca3 0.667 0.333 0.333
Re1 0.000 0.000 0.766
Re2 0.333 0.667 0.433
Re3 0.667 0.333 0.100
Ni1 0.000 0.000 0.245
Ni2 0.000 0.000 0.506
Ni3 0.333 0.667 0.173
Ni4 0.333 0.667 0.912
Ni5 0.667 0.333 0.579
Ni6 0.667 0.333 0.840
```

Its relative energy among the computed polymorphs is 0.401 eV/atom. Its space-group type is R3m (160). For the density, the calculation gives 9.37 g/cm³. The calculation puts the formation energy at 2.3 eV per formula unit. For the raw total energy, the calculation gives -0.2179 Ha/atom.

=====

# 2
The following is a PBE calculation of a relaxed structure of HgPS2O, from Alexandria.

```
data_HgPS2O
_chemical_formula_sum 'Hg1 P1 S2 O1'
_symmetry_space_group_name_H-M 'P 1'
_symmetry_Int_Tables_number 1
_cell_length_a 4.342
_cell_length_b 4.342
_cell_length_c 4.393
_cell_angle_alpha 90.00
_cell_angle_beta 90.00
_cell_angle_gamma 90.00
loop_
_symmetry_equiv_pos_as_xyz
'x,y,z'
loop_
_atom_site_label
_atom_site_fract_x
_atom_site_fract_y
_atom_site_fract_z
Hg1 0.000 0.000 0.000
P1 0.500 0.500 0.000
S1 0.000 0.500 0.500
S2 0.500 0.000 0.500
O1 0.500 0.500 0.500
```

Its relative energy among the computed polymorphs is 0.000 eV/atom. Its space-group type is P4/mmm (123). For the density, the calculation gives 6.25 g/cm³. The value obtained for the formation energy (no corrections) is 400 kJ/mol of formula units. For the raw total energy, the calculation gives -0.1087 Ha/atom.

=====

# 3
The following is a PBE calculation of a relaxed structure of Sm2DyAl9, from Alexandria.

```
data_Sm2DyAl9
_chemical_formula_sum 'Sm2 Dy1 Al9'
_symmetry_space_group_name_H-M 'P 1'
_symmetry_Int_Tables_number 1
_cell_length_a 9.377
_cell_length_b 9.377
_cell_length_c 9.377
_cell_angle_alpha 34.86
_cell_angle_beta 34.86
_cell_angle_gamma 34.86
loop_
_symmetry_equiv_pos_as_xyz
'x,y,z'
loop_
_atom_site_label
_atom_site_fract_x
_atom_site_fract_y
_atom_site_fract_z
Sm1 0.142 0.142 0.142
Sm2 0.858 0.858 0.858
Dy1 0.000 0.000 0.000
Al1 0.075 0.586 0.586
Al2 0.335 0.335 0.335
Al3 0.414 0.414 0.925
Al4 0.414 0.925 0.414
Al5 0.500 0.500 0.500
Al6 0.586 0.075 0.586
Al7 0.586 0.586 0.075
Al8 0.665 0.665 0.665
Al9 0.925 0.414 0.414
```

Its space-group type is R-3m (166). For the density, the calculation gives 4.88 g/cm³. The calculation puts the formation energy at -4.3 eV per formula unit. For the raw total energy, the calculation gives -0.1594 Ha/atom.

=====

# 4
The following is a PBE calculation of a relaxed structure of ScTaTlBr2, from Alexandria.

```
data_ScTaTlBr2
_chemical_formula_sum 'Sc1 Ta1 Tl1 Br2'
_symmetry_space_group_name_H-M 'P 1'
_symmetry_Int_Tables_number 1
_cell_length_a 5.017
_cell_length_b 5.017
_cell_length_c 6.343
_cell_angle_alpha 90.00
_cell_angle_beta 90.00
_cell_angle_gamma 90.00
loop_
_symmetry_equiv_pos_as_xyz
'x,y,z'
loop_
_atom_site_label
_atom_site_fract_x
_atom_site_fract_y
_atom_site_fract_z
Sc1 0.000 0.000 0.000
Ta1 0.500 0.500 0.500
Tl1 0.000 0.000 0.500
Br1 0.000 0.500 0.000
Br2 0.500 0.000 0.000
```

Its relative energy among the computed polymorphs is 0.288 eV/atom. Its space-group type is P4/mmm (123). For the density, the calculation gives 6.14 g/cm³. The value obtained for the formation energy (no corrections) is 272 kJ/mol of formula units. For the raw total energy, the calculation gives -0.1549 Ha/atom.

=====

# 5
The following is a PBE calculation of a relaxed structure of YErTl, from Alexandria.

```
data_YErTl
_chemical_formula_sum 'Y2 Er2 Tl2'
_symmetry_space_group_name_H-M 'P 1'
_symmetry_Int_Tables_number 1
_cell_length_a 5.400
_cell_length_b 5.400
_cell_length_c 6.694
_cell_angle_alpha 90.00
_cell_angle_beta 90.00
_cell_angle_gamma 120.00
loop_
_symmetry_equiv_pos_as_xyz
'x,y,z'
loop_
_atom_site_label
_atom_site_fract_x
_atom_site_fract_y
_atom_site_fract_z
Y1 0.333 0.667 0.250
Y2 0.667 0.333 0.750
Er1 0.000 0.000 0.000
Er2 0.000 0.000 0.500
Tl1 0.333 0.667 0.750
Tl2 0.667 0.333 0.250
```

Its relative energy among the computed polymorphs is 0.014 eV/atom. Its space-group type is P6_3/mmc (194). For the density, the calculation gives 9.05 g/cm³. The calculation puts the formation energy at -0.8 eV per formula unit. For the raw total energy, the calculation gives -0.1741 Ha/atom.

=====

# 6
The following is a PBE calculation of a relaxed structure of Zr2TaRe, from Alexandria.

```
data_Zr2TaRe
_chemical_formula_sum 'Zr2 Ta1 Re1'
_symmetry_space_group_name_H-M 'P 1'
_symmetry_Int_Tables_number 1
_cell_length_a 3.302
_cell_length_b 3.302
_cell_length_c 7.081
_cell_angle_alpha 90.00
_cell_angle_beta 90.00
_cell_angle_gamma 90.00
loop_
_symmetry_equiv_pos_as_xyz
'x,y,z'
loop_
_atom_site_label
_atom_site_fract_x
_atom_site_fract_y
_atom_site_fract_z
Zr1 0.000 0.000 0.230
Zr2 0.000 0.000 0.770
Ta1 0.500 0.500 0.500
Re1 0.500 0.500 0.000
```

Its relative energy among the computed polymorphs is 0.126 eV/atom. Its space-group type is P4/mmm (123). For the density, the calculation gives 11.82 g/cm³. The calculation puts the formation energy at 0.0 eV per formula unit. For the raw total energy, the calculation gives -0.3806 Ha/atom.

=====

# 7
The following is a PBE calculation of a relaxed structure of CsHS2, from Alexandria.

```
data_CsHS2
_chemical_formula_sum 'Cs3 H3 S6'
_symmetry_space_group_name_H-M 'P 1'
_symmetry_Int_Tables_number 1
_cell_length_a 4.262
_cell_length_b 4.262
_cell_length_c 18.199
_cell_angle_alpha 90.00
_cell_angle_beta 90.00
_cell_angle_gamma 120.00
loop_
_symmetry_equiv_pos_as_xyz
'x,y,z'
loop_
_atom_site_label
_atom_site_fract_x
_atom_site_fract_y
_atom_site_fract_z
Cs1 0.000 0.000 0.000
Cs2 0.333 0.667 0.667
Cs3 0.667 0.333 0.333
H1 0.000 0.000 0.500
H2 0.333 0.667 0.167
H3 0.667 0.333 0.833
S1 0.000 0.000 0.178
S2 0.000 0.000 0.822
S3 0.333 0.667 0.489
S4 0.333 0.667 0.844
S5 0.667 0.333 0.156
S6 0.667 0.333 0.511
```

Its relative energy among the computed polymorphs is 0.525 eV/atom. Its space-group type is R-3m (166). For the density, the calculation gives 3.45 g/cm³. For the raw total energy, the calculation gives -0.1054 Ha/atom.

=====

# 8
The following is a PBE calculation of a relaxed structure of La2ErPb, from Alexandria.

```
data_La2ErPb
_chemical_formula_sum 'La6 Er3 Pb3'
_symmetry_space_group_name_H-M 'P 1'
_symmetry_Int_Tables_number 1
_cell_length_a 3.689
_cell_length_b 3.689
_cell_length_c 34.230
_cell_angle_alpha 90.00
_cell_angle_beta 90.00
_cell_angle_gamma 120.00
loop_
_symmetry_equiv_pos_as_xyz
'x,y,z'
loop_
_atom_site_label
_atom_site_fract_x
_atom_site_fract_y
_atom_site_fract_z
La1 0.000 0.000 0.000
La2 0.000 0.000 0.169
La3 0.333 0.667 0.667
La4 0.333 0.667 0.836
La5 0.667 0.333 0.333
La6 0.667 0.333 0.502
Er1 0.000 0.000 0.751
Er2 0.333 0.667 0.418
Er3 0.667 0.333 0.084
Pb1 0.000 0.000 0.585
Pb2 0.333 0.667 0.251
Pb3 0.667 0.333 0.918
```

Its relative energy among the computed polymorphs is 0.187 eV/atom. Its space-group type is R3m (160). For the density, the calculation gives 8.06 g/cm³. The calculation puts the formation energy at -0.6 eV per formula unit. For the raw total energy, the calculation gives -0.1719 Ha/atom.

=====

# 9
The following is a PBE calculation of a relaxed structure of KMnPbCl6, from Alexandria.

```
data_KMnPbCl6
_chemical_formula_sum 'K2 Mn2 Pb2 Cl12'
_symmetry_space_group_name_H-M 'P 1'
_symmetry_Int_Tables_number 1
_cell_length_a 7.065
_cell_length_b 7.065
_cell_length_c 13.027
_cell_angle_alpha 90.00
_cell_angle_beta 90.00
_cell_angle_gamma 120.00
loop_
_symmetry_equiv_pos_as_xyz
'x,y,z'
loop_
_atom_site_label
_atom_site_fract_x
_atom_site_fract_y
_atom_site_fract_z
K1 0.000 0.000 0.000
K2 0.000 0.000 0.500
Mn1 0.333 0.667 0.250
Mn2 0.667 0.333 0.750
Pb1 0.333 0.667 0.750
Pb2 0.667 0.333 0.250
Cl1 0.053 0.396 0.142
Cl2 0.053 0.657 0.358
Cl3 0.343 0.396 0.358
Cl4 0.343 0.947 0.142
Cl5 0.396 0.053 0.642
Cl6 0.396 0.343 0.858
Cl7 0.604 0.657 0.142
Cl8 0.604 0.947 0.358
Cl9 0.657 0.053 0.858
Cl10 0.657 0.604 0.642
Cl11 0.947 0.343 0.642
Cl12 0.947 0.604 0.858
```

Its space-group type is P-31c (163). For the density, the calculation gives 3.03 g/cm³. The value obtained for the formation energy (no corrections) is -1077 kJ/mol of formula units. For the raw total energy, the calculation gives -0.1479 Ha/atom.

=====

# 10
The following is a PBE calculation of a relaxed structure of CaAg4Pb, from Alexandria.

```
data_CaAg4Pb
_chemical_formula_sum 'Ca1 Ag4 Pb1'
_symmetry_space_group_name_H-M 'P 1'
_symmetry_Int_Tables_number 1
_cell_length_a 5.695
_cell_length_b 5.695
_cell_length_c 5.695
_cell_angle_alpha 60.00
_cell_angle_beta 60.00
_cell_angle_gamma 60.00
loop_
_symmetry_equiv_pos_as_xyz
'x,y,z'
loop_
_atom_site_label
_atom_site_fract_x
_atom_site_fract_y
_atom_site_fract_z
Ca1 0.000 0.000 0.000
Ag1 0.375 0.375 0.375
Ag2 0.375 0.375 0.876
Ag3 0.375 0.876 0.375
Ag4 0.876 0.375 0.375
Pb1 0.750 0.750 0.750
```

Its space-group type is F-43m (216). For the density, the calculation gives 8.63 g/cm³. The calculation puts the formation energy at -1.3 eV per formula unit. For the raw total energy, the calculation gives -0.1126 Ha/atom.

=====

# 11
The following is a PBE calculation of a relaxed structure of TmCuPd, from Alexandria.

```
data_TmCuPd
_chemical_formula_sum 'Tm4 Cu4 Pd4'
_symmetry_space_group_name_H-M 'P 1'
_symmetry_Int_Tables_number 1
_cell_length_a 4.275
_cell_length_b 9.544
_cell_length_c 5.409
_cell_angle_alpha 90.00
_cell_angle_beta 90.00
_cell_angle_gamma 90.00
loop_
_symmetry_equiv_pos_as_xyz
'x,y,z'
loop_
_atom_site_label
_atom_site_fract_x
_atom_site_fract_y
_atom_site_fract_z
Tm1 0.000 0.204 0.250
Tm2 0.000 0.796 0.750
Tm3 0.500 0.296 0.750
Tm4 0.500 0.704 0.250
Cu1 0.000 0.500 0.000
Cu2 0.000 0.500 0.500
Cu3 0.500 0.000 0.000
Cu4 0.500 0.000 0.500
Pd1 0.000 0.094 0.750
Pd2 0.000 0.906 0.250
Pd3 0.500 0.406 0.250
Pd4 0.500 0.594 0.750
```

Its relative energy among the computed polymorphs is 0.007 eV/atom. Its space-group type is Cmcm (63). For the density, the calculation gives 10.20 g/cm³. The calculation puts the formation energy at -1.9 eV per formula unit. For the raw total energy, the calculation gives -0.1919 Ha/atom.

=====

# 12
The following is a PBE calculation of a relaxed structure of Pa2H2Pb, from Alexandria.

```
data_Pa2H2Pb
_chemical_formula_sum 'Pa4 H4 Pb2'
_symmetry_space_group_name_H-M 'P 1'
_symmetry_Int_Tables_number 1
_cell_length_a 7.756
_cell_length_b 6.552
_cell_length_c 5.919
_cell_angle_alpha 76.73
_cell_angle_beta 55.31
_cell_angle_gamma 47.97
loop_
_symmetry_equiv_pos_as_xyz
'x,y,z'
loop_
_atom_site_label
_atom_site_fract_x
_atom_site_fract_y
_atom_site_fract_z
Pa1 0.051 0.699 0.051
Pa2 0.301 0.949 0.301
Pa3 0.699 0.051 0.699
Pa4 0.949 0.301 0.949
H1 0.006 0.006 0.244
H2 0.244 0.244 0.006
H3 0.756 0.756 0.994
H4 0.994 0.994 0.756
Pb1 0.375 0.375 0.375
Pb2 0.625 0.625 0.625
```

Its space-group type is Fddd (70). For the density, the calculation gives 12.53 g/cm³. For the raw total energy, the calculation gives -0.2223 Ha/atom.

=====

What is the formula in the fourth record?
ScTaTlBr2

=====

Which formula does entry 4 have?
ScTaTlBr2

=====

Look up the raw total energy of the fifth one.
-0.1741 Ha/atom